1.
The following is a PBE-GGA calculation of a relaxed structure of Sc2SiRh, from the Alexandria database.

a = 3.0467 Å, b = 3.0467 Å, c = 7.7294 Å
α = 90.00°, β = 90.00°, γ = 90.00°
Fractional coordinates of all 4 atoms:
Rh 0.5000 0.5000 0.7068
Sc 0.0000 0.0000 0.9532
Sc 0.5000 0.5000 0.2973
Si 0.0000 0.0000 0.5427

Summary:
**Calculated density**: 5.113 g/cm3
**Crystal system**: tetragonal
**VASP energy**: -6.96 eV per atom
**Density of states at the Fermi level**: 2.87 states/eV/cell
**Raw formation energy**: -0.60 eV per atom

=====

2.
The following is a PBE-GGA calculation of a relaxed structure of LiTl3Ga2F9, from the Alexandria database.

a = 5.9846 Å, b = 5.9846 Å, c = 7.3180 Å
α = 90.00°, β = 90.00°, γ = 120.00°
Fractional coordinates of all 15 atoms:
F 0.5000 0.5000 0.0000
F 0.8248 0.1752 0.6773
F 0.5000 0.0000 0.0000
F 0.3504 0.1752 0.6773
F 0.1752 0.3504 0.3227
F 0.8248 0.6496 0.6773
F 0.0000 0.5000 0.0000
F 0.1752 0.8248 0.3227
F 0.6496 0.8248 0.3227
Tl 0.3333 0.6667 0.6558
Tl 0.6667 0.3333 0.3442
Tl 0.0000 0.0000 0.0000
Li 0.0000 0.0000 0.5000
Ga 0.6667 0.3333 0.8295
Ga 0.3333 0.6667 0.1705

Summary:
**Calculated density**: 6.807 g/cm3
**Crystal system**: trigonal
**VASP energy**: -4.33 eV per atom
**Density of states at the Fermi level**: 3.17 states/eV/cell
**Raw formation energy**: -2.20 eV per atom

=====

3.
The following is a PBE-GGA calculation of a relaxed structure of LiHfI2, from the Alexandria database.

a = 7.5403 Å, b = 7.5403 Å, c = 6.7913 Å
α = 56.28°, β = 56.28°, γ = 90.00°
Fractional coordinates of all 8 atoms:
I 0.3750 0.3869 0.7500
I 0.1369 0.6250 0.2500
I 0.6131 0.1250 0.2500
I 0.8750 0.8631 0.7500
Li 0.5000 0.5000 0.0000
Li 0.2500 0.7500 0.5000
Hf 0.7500 0.2500 0.5000
Hf 0.0000 0.0000 0.0000

Summary:
**Calculated density**: 6.100 g/cm3
**Crystal system**: tetragonal
**VASP energy**: -3.72 eV per atom
**Distance to the lowest polymorph of the same formula**: 82 meV per atom
**Density of states at the Fermi level**: 6.92 states/eV/cell
**Raw formation energy**: 0.02 eV per atom

=====

4.
The following is a PBE-GGA calculation of a relaxed structure of K8Rb2CdAu, from the Alexandria database.

a = 5.7488 Å, b = 11.7267 Å, c = 12.2651 Å
α = 89.99°, β = 90.00°, γ = 89.97°
Fractional coordinates of all 12 atoms:
Rb 0.5001 0.5000 0.7797
Rb 0.4999 0.5000 0.2203
K 0.5002 0.8049 0.5000
K 0.9998 0.8309 0.2382
K 0.4998 0.1951 0.5000
K 0.5000 0.1669 0.0000
K 0.0002 0.1691 0.7618
K 0.0001 0.1691 0.2381
K 0.9999 0.8309 0.7619
K 0.5000 0.8331 0.0000
Au 0.0000 0.0000 0.0000
Cd 0.0000 0.0000 0.5000

Summary:
**Energy of formation from the pure elements**: 0.00 eV/atom
**Calculated density**: 1.593 g/cm3
**Crystal system**: orthorhombic
**VASP energy**: -1.25 eV per atom
**Density of states at the Fermi level**: 7.87 states/eV/cell

=====

5.
The following is a PBE-GGA calculation of a relaxed structure of Ac2GeB3Rh12, from the Alexandria database.

a = 7.2188 Å, b = 7.2188 Å, c = 7.2188 Å
α = 66.22°, β = 66.22°, γ = 66.22°
Fractional coordinates of all 18 atoms:
Rh 0.8739 0.8739 0.3881
Rh 0.3881 0.8739 0.8739
Rh 0.0990 0.7167 0.7167
Rh 0.6119 0.1261 0.1261
Rh 0.2833 0.2833 0.9010
Rh 0.1261 0.6119 0.1261
Rh 0.2833 0.9010 0.2833
Rh 0.1261 0.1261 0.6119
Rh 0.7167 0.7167 0.0990
Rh 0.9010 0.2833 0.2833
Rh 0.8739 0.3881 0.8739
Rh 0.7167 0.0990 0.7167
Ac 0.6046 0.6046 0.6046
Ac 0.3954 0.3954 0.3954
B 0.5000 0.0000 0.0000
B 0.0000 0.0000 0.5000
B 0.0000 0.5000 0.0000
Ge 0.0000 0.0000 0.0000

Summary:
**Energy of formation from the pure elements**: -0.17 eV/atom
**Calculated density**: 9.873 g/cm3
**Crystal system**: trigonal
**VASP energy**: -6.89 eV per atom
**Density of states at the Fermi level**: 24.53 states/eV/cell

=====

6.
The following is a PBE-GGA calculation of a relaxed structure of LaHo2Tc, from the Alexandria database.

a = 3.4516 Å, b = 3.4516 Å, c = 9.2852 Å
α = 90.00°, β = 90.00°, γ = 90.00°
Fractional coordinates of all 4 atoms:
La 0.5000 0.5000 0.5000
Tc 0.5000 0.5000 0.0000
Ho 0.0000 0.0000 0.8237
Ho 0.0000 0.0000 0.1763

Summary:
**Energy of formation from the pure elements**: 0.01 eV/atom
**Calculated density**: 8.508 g/cm3
**Crystal system**: tetragonal
**VASP energy**: -6.11 eV per atom
**Distance to the lowest polymorph of the same formula**: 108 meV per atom
**Density of states at the Fermi level**: 7.94 states/eV/cell

=====

7.
The following is a PBE-GGA calculation of a relaxed structure of TlPd3Au2, from the Alexandria database.

a = 2.9265 Å, b = 9.4683 Å, c = 9.5614 Å
α = 121.02°, β = 98.80°, γ = 90.00°
Fractional coordinates of all 12 atoms:
Au 0.6783 0.3666 0.3565
Au 0.0224 0.1635 0.0448
Au 0.9776 0.8365 0.9552
Au 0.3217 0.6334 0.6435
Pd 0.7162 0.7074 0.4324
Pd 0.9052 0.2731 0.8104
Pd 0.2838 0.2926 0.5676
Pd 0.0948 0.7269 0.1896
Pd 0.4448 0.5552 0.8896
Pd 0.5552 0.4448 0.1104
Tl 0.6605 0.0215 0.3210
Tl 0.3395 0.9785 0.6790

Summary:
**Energy of formation from the pure elements**: 0.00 eV/atom
**Calculated density**: 13.641 g/cm3
**Crystal system**: monoclinic
**VASP energy**: -4.08 eV per atom
**Distance to the lowest polymorph of the same formula**: 17 meV per atom
**Density of states at the Fermi level**: 6.61 states/eV/cell

=====

8.
The following is a PBE-GGA calculation of a relaxed structure of EuLuGaPt, from the Alexandria database.

a = 5.0309 Å, b = 5.0309 Å, c = 5.0309 Å
α = 60.00°, β = 60.00°, γ = 60.00°
Fractional coordinates of all 4 atoms:
Eu 0.0000 0.0000 0.0000
Lu 0.5000 0.5000 0.5000
Ga 0.7500 0.7500 0.7500
Pt 0.2500 0.2500 0.2500

Summary:
**Energy of formation from the pure elements**: -0.74 eV/atom
**Calculated density**: 10.913 g/cm3
**Crystal system**: cubic
**VASP energy**: -6.71 eV per atom
**Density of states at the Fermi level**: 4.79 states/eV/cell